Entry 1:
Below is an optimized crystal structure of BaMg2Pt2, with properties calculated at the PBE level.

Cell: 4.870 4.870 10.362 Å, 90.00 90.00 90.00°
Space group I4/mmm (No. 139)
Inequivalent atoms, fractional coordinates:
Ba (0.000, 0.000, 0.000) [2 per cell]
Mg (0.000, 0.000, 0.347) [4 per cell]
Pt (0.000, 0.500, 0.250) [4 per cell]

Output
formation energy from the elements = -0.594 eV/atom
total energy = -4.0326 eV/atom

Entry 2:
Below is an optimized crystal structure of Ag3HgPd, with properties calculated at the PBE level.

Cell: 5.105 5.105 5.105 Å, 90.00 90.00 90.00°
Space group Pm-3m (No. 221)
Inequivalent atoms, fractional coordinates:
Ag (0.000, 0.000, 0.500) [3 per cell]
Hg (0.500, 0.500, 0.500) [1 per cell]
Pd (0.000, 0.000, 0.000) [1 per cell]

Output
formation energy from the elements = 0.621 eV/atom
total energy = -2.1883 eV/atom